CaW2Cl | PBE | optimized geometry

Results
ρ = 8817 kg/m³
spin magnetization = 0.0 μB/f.u.
energy relative to the lowest polymorph listed for this composition = 0.952 eV/atom
space group = Cmmm

Cell lengths 6.2792, 6.2792, 2.8635 Å; angles 90.00, 90.00, 132.33 degrees
Closest atoms and distances in Å follow each position.
Fractional coordinates of all 4 atoms:
Cl (0.0000, 0.5000, 0.5000)  2 Ca 2.54
W (0.5000, 0.5000, 0.0000)  2 W 2.54
W (0.0000, 0.0000, 0.0000)  2 W 2.54
Ca (0.5000, 0.0000, 0.5000)  2 Cl 2.54

CaWCl2 | PBE | optimized geometry

Results
ρ = 5928 kg/m³
spin magnetization = 0.0 μB/f.u.
energy relative to the lowest polymorph listed for this composition = 0.545 eV/atom
space group = Cmmm

Cell lengths 3.4109, 3.4109, 8.8208 Å; angles 90.00, 90.00, 126.41 degrees
Closest atoms and distances in Å follow each position.
Fractional coordinates of all 4 atoms:
W (0.5000, 0.5000, 0.2500)  4 Cl 2.49
Cl (0.0000, 0.0000, 0.0281)  2 W 2.49
Cl (0.0000, 0.0000, 0.4719)  2 W 2.49
Ca (0.5000, 0.5000, 0.7500)  4 Cl 2.89, 2 Ca 3.08

CaW2Cl | PBE | optimized geometry

Results
ρ = 8421 kg/m³
spin magnetization = 0.0 μB/f.u.
energy relative to the lowest polymorph listed for this composition = 0.085 eV/atom
space group = Cm

Cell lengths 3.3704, 3.3704, 9.4424 Å; angles 73.73, 73.73, 59.40 degrees
Closest atoms and distances in Å follow each position.
Fractional coordinates of all 4 atoms:
Ca (0.5301, 0.5301, 0.4824)  3 Cl 2.74
Cl (0.3125, 0.3125, 0.2658)  3 Ca 2.74
W (0.9492, 0.9492, 0.9643)  3 W 2.50-2.51
W (0.7083, 0.7083, 0.7874)  3 W 2.50-2.51

Number 1: uncorrected formation energy 0.97 eV per atom. Number 2: uncorrected formation energy 0.10 eV per atom. Number 3: uncorrected formation energy 0.10 eV per atom.